1.
The following is a meta-GGA SCAN calculation of a crystal of SbHRh2O relaxed with PBEsol, from the Alexandria database.

- uncorrected energy (eV/atom) = -21.791

Geometry as POSCAR:
```
SbHRh2O
1.0
4.907 0.000 0.000
0.000 4.907 0.000
0.000 0.000 3.981
Sb H Rh O
1 1 2 1
direct
0.000 0.000 0.000
0.500 0.500 0.500
0.000 0.500 0.000
0.500 0.000 0.000
0.000 0.000 0.500
```

---

2.
The following is a meta-GGA SCAN calculation of a crystal of BaPPb2 relaxed with PBEsol, from the Alexandria database.

- energy relative to the elements (eV/atom) = -0.51

Geometry as POSCAR:
```
BaPPb2
1.0
4.004 0.000 0.000
0.000 2.506 6.036
0.000 -2.506 6.036
Ba P Pb
1 1 2
direct
0.000 0.000 0.000
0.500 0.457 0.457
0.000 0.286 0.286
0.500 0.689 0.689
```

---

3.
The following is a meta-GGA SCAN calculation of a crystal of Al2FeW relaxed with PBEsol, from the Alexandria database.

- energy relative to the elements (eV/atom) = 0.09

Geometry as POSCAR:
```
Al2FeW
1.0
0.000 3.009 3.009
3.009 0.000 3.009
3.009 3.009 0.000
Al Fe W
2 1 1
direct
0.250 0.250 0.250
0.750 0.750 0.750
0.000 0.000 0.000
0.500 0.500 0.500
```

---

4.
The following is a meta-GGA SCAN calculation of a crystal of PSe2 relaxed with PBEsol, from the Alexandria database.

- energy relative to the elements, uncorrected (eV/atom) = 0.074

Geometry as POSCAR:
```
PSe2
1.0
3.445 0.000 0.000
-1.723 2.984 0.000
0.000 0.000 6.118
P Se
1 2
direct
0.000 0.000 0.000
0.333 0.667 0.242
0.667 0.333 0.758
```

---

5.
The following is a meta-GGA SCAN calculation of a crystal of InN2Cl relaxed with PBEsol, from the Alexandria database.

- energy relative to the elements, uncorrected (eV/atom) = 1.938

Geometry as POSCAR:
```
InN2Cl
1.0
0.000 2.914 2.914
2.914 0.000 2.914
2.914 2.914 0.000
In N Cl
1 2 1
direct
0.000 0.000 0.000
0.250 0.250 0.250
0.750 0.750 0.750
0.500 0.500 0.500
```

---

6.
The following is a meta-GGA SCAN calculation of a crystal of KOs4Cl relaxed with PBEsol, from the Alexandria database.

- energy relative to the elements, uncorrected (eV/atom) = 1.558

Geometry as POSCAR:
```
KOs4Cl
1.0
0.000 3.741 3.741
3.741 0.000 3.741
3.741 3.741 0.000
K Os Cl
1 4 1
direct
0.000 0.000 0.000
0.126 0.625 0.625
0.625 0.126 0.625
0.625 0.625 0.126
0.625 0.625 0.625
0.250 0.250 0.250
```

---

7.
The following is a meta-GGA SCAN calculation of a crystal of YSb4Pb relaxed with PBEsol, from the Alexandria database.

- energy relative to the elements, uncorrected (eV/atom) = -0.039

Geometry as POSCAR:
```
YSb4Pb
1.0
0.000 4.367 4.367
4.367 0.000 4.367
4.367 4.367 0.000
Y Sb Pb
1 4 1
direct
0.000 0.000 0.000
0.123 0.626 0.626
0.626 0.123 0.626
0.626 0.626 0.123
0.626 0.626 0.626
0.250 0.250 0.250
```

---

8.
The following is a meta-GGA SCAN calculation of a crystal of LiLa2Ag2 relaxed with PBEsol, from the Alexandria database.

- energy relative to the elements (eV/atom) = -0.24

Geometry as POSCAR:
```
LiLa2Ag2
1.0
8.022 0.000 0.000
0.000 8.022 0.000
0.000 0.000 4.118
Li La Ag
2 4 4
direct
0.000 0.000 0.000
0.500 0.500 0.000
0.167 0.333 0.500
0.333 0.833 0.500
0.667 0.167 0.500
0.833 0.667 0.500
0.129 0.629 0.000
0.371 0.129 0.000
0.629 0.871 0.000
0.871 0.371 0.000
```

---

9.
The following is a meta-GGA SCAN calculation of a crystal of Be2CoRu relaxed with PBEsol, from the Alexandria database.

- energy relative to the elements (eV/atom) = -0.22

Geometry as POSCAR:
```
Be2CoRu
1.0
3.550 0.000 0.000
0.000 1.323 4.106
0.000 -1.323 4.106
Be Co Ru
2 1 1
direct
0.000 0.000 0.000
0.500 0.150 0.150
0.500 0.426 0.426
0.000 0.731 0.731
```

---

10.
The following is a meta-GGA SCAN calculation of a crystal of LiAsAu relaxed with PBEsol, from the Alexandria database.

- energy relative to the elements (eV/atom) = -0.35

Geometry as POSCAR:
```
LiAsAu
1.0
-1.581 1.943 3.924
1.581 -1.943 3.924
1.581 1.943 -3.924
Li As Au
1 1 1
direct
0.000 0.000 0.000
0.671 0.671 0.000
0.343 0.343 0.000
```

---

11.
The following is a meta-GGA SCAN calculation of a crystal of TiZn3 relaxed with PBEsol, from the Alexandria database.

- energy relative to the elements (eV/atom) = -0.26

Geometry as POSCAR:
```
TiZn3
1.0
5.531 0.000 0.000
-2.765 4.790 0.000
0.000 0.000 4.272
Ti Zn
2 6
direct
0.333 0.667 0.250
0.667 0.333 0.750
0.165 0.329 0.750
0.165 0.835 0.750
0.329 0.165 0.250
0.671 0.835 0.750
0.835 0.165 0.250
0.835 0.671 0.250
```

---

12.
The following is a meta-GGA SCAN calculation of a crystal of KLaCr relaxed with PBEsol, from the Alexandria database.

- energy relative to the elements (eV/atom) = 0.50

Geometry as POSCAR:
```
KLaCr
1.0
-1.821 1.821 7.888
1.821 -1.821 7.888
1.821 1.821 -7.888
K La Cr
1 1 1
direct
0.000 0.000 0.000
0.731 0.731 0.000
0.337 0.337 0.000
```

---

13.
The following is a meta-GGA SCAN calculation of a crystal of Sr2LaSbIr relaxed with PBEsol, from the Alexandria database.

- energy relative to the elements, uncorrected (eV/atom) = -0.148

Geometry as POSCAR:
```
Sr2LaSbIr
1.0
5.653 0.000 0.000
0.000 5.653 0.000
0.000 0.000 5.135
Sr La Sb Ir
2 1 1 1
direct
0.000 0.500 0.000
0.500 0.000 0.000
0.000 0.000 0.500
0.500 0.500 0.500
0.500 0.500 0.000
```

---

14.
The following is a meta-GGA SCAN calculation of a crystal of Mn2AuSe relaxed with PBEsol, from the Alexandria database.

- energy relative to the elements, uncorrected (eV/atom) = 0.108

Geometry as POSCAR:
```
Mn2AuSe
1.0
0.000 3.223 3.223
3.223 0.000 3.223
3.223 3.223 0.000
Mn Au Se
2 1 1
direct
0.000 0.000 0.000
0.250 0.250 0.250
0.750 0.750 0.750
0.500 0.500 0.500
```

---

15.
The following is a meta-GGA SCAN calculation of a crystal of K2PtAu relaxed with PBEsol, from the Alexandria database.

- energy relative to the elements (eV/atom) = 0.02

Geometry as POSCAR:
```
K2PtAu
1.0
0.000 3.574 3.574
3.574 0.000 3.574
3.574 3.574 0.000
K Pt Au
2 1 1
direct
0.000 0.000 0.000
0.250 0.250 0.250
0.750 0.750 0.750
0.500 0.500 0.500
```

---

16.
The following is a meta-GGA SCAN calculation of a crystal of CsTcP3 relaxed with PBEsol, from the Alexandria database.

- energy relative to the elements (eV/atom) = 2.75

Geometry as POSCAR:
```
CsTcP3
1.0
5.166 0.000 0.000
0.000 5.166 0.000
0.000 0.000 5.166
Cs Tc P
1 1 3
direct
0.000 0.000 0.000
0.500 0.500 0.500
0.000 0.000 0.500
0.000 0.500 0.000
0.500 0.000 0.000
```

---

17.
The following is a meta-GGA SCAN calculation of a crystal of LiCaBe2 relaxed with PBEsol, from the Alexandria database.

- energy relative to the elements (eV/atom) = 0.32

Geometry as POSCAR:
```
LiCaBe2
1.0
3.981 0.000 0.000
0.000 1.880 4.970
0.000 -1.880 4.970
Li Ca Be
1 1 2
direct
0.000 0.000 0.000
0.500 0.701 0.701
0.000 0.341 0.341
0.500 0.408 0.408
```

---

18.
The following is a meta-GGA SCAN calculation of a crystal of Fe2CuW relaxed with PBEsol, from the Alexandria database.

- energy relative to the elements (eV/atom) = 0.23

Geometry as POSCAR:
```
Fe2CuW
1.0
-1.840 1.840 3.491
1.840 -1.840 3.491
1.840 1.840 -3.491
Fe Cu W
2 1 1
direct
0.250 0.750 0.500
0.750 0.250 0.500
0.000 0.000 0.000
0.500 0.500 0.000
```

---

19.
The following is a meta-GGA SCAN calculation of a crystal of MgSiNi relaxed with PBEsol, from the Alexandria database.

- energy relative to the elements, uncorrected (eV/atom) = -0.267

Geometry as POSCAR:
```
MgSiNi
1.0
-1.467 1.467 4.839
1.467 -1.467 4.839
1.467 1.467 -4.839
Mg Si Ni
1 1 1
direct
0.000 0.000 0.000
0.296 0.296 0.000
0.688 0.688 0.000
```

---

20.
The following is a meta-GGA SCAN calculation of a crystal of Si3Tc relaxed with PBEsol, from the Alexandria database.

- energy relative to the elements, uncorrected (eV/atom) = 0.093

Geometry as POSCAR:
```
Si3Tc
1.0
2.469 -3.527 0.000
2.469 3.527 0.000
0.000 0.000 3.007
Si Tc
3 1
direct
0.000 0.000 0.000
0.000 0.500 0.500
0.500 0.000 0.500
0.500 0.500 0.000
```

---

21.
The following is a meta-GGA SCAN calculation of a crystal of Ca2Cu relaxed with PBEsol, from the Alexandria database.

- energy relative to the elements (eV/atom) = -0.04

Geometry as POSCAR:
```
Ca2Cu
1.0
7.751 0.000 0.000
0.000 4.514 0.000
0.000 0.000 9.239
Ca Cu
8 4
direct
0.023 0.250 0.170
0.148 0.250 0.567
0.352 0.750 0.067
0.477 0.750 0.670
0.523 0.250 0.330
0.648 0.250 0.933
0.852 0.750 0.433
0.977 0.750 0.830
0.240 0.750 0.375
0.260 0.250 0.875
0.740 0.750 0.125
0.760 0.250 0.625
```

---

22.
The following is a meta-GGA SCAN calculation of a crystal of YBeHg2 relaxed with PBEsol, from the Alexandria database.

- energy relative to the elements (eV/atom) = -0.14

Geometry as POSCAR:
```
YBeHg2
1.0
-2.214 2.505 3.569
2.214 -2.505 3.569
2.214 2.505 -3.569
Y Be Hg
1 1 2
direct
0.000 0.000 0.000
0.272 0.772 0.500
0.453 0.453 0.000
0.722 0.222 0.500
```

---

23.
The following is a meta-GGA SCAN calculation of a crystal of Tm2Si9B36C relaxed with PBEsol, from the Alexandria database.

- energy relative to the elements, uncorrected (eV/atom) = -0.239

Geometry as POSCAR:
```
Tm2Si9B36C
1.0
6.210 -5.032 0.000
6.210 5.032 0.000
-2.113 0.000 7.666
Tm Si B C
2 9 36 1
direct
0.249 0.751 0.000
0.751 0.249 0.000
0.206 0.206 0.543
0.514 0.514 0.842
0.517 0.904 0.245
0.594 0.985 0.755
0.682 0.682 0.071
0.824 0.824 0.926
0.904 0.517 0.245
0.985 0.594 0.755
0.988 0.988 0.163
0.049 0.876 0.520
0.052 0.233 0.875
0.074 0.361 0.090
0.075 0.661 0.393
0.129 0.129 0.065
0.129 0.687 0.623
0.141 0.431 0.920
0.143 0.829 0.323
0.232 0.875 0.698
0.233 0.052 0.875
0.244 0.244 0.796
0.244 0.953 0.506
0.268 0.268 0.226
0.268 0.527 0.483
0.271 0.452 0.129
0.272 0.622 0.300
0.359 0.662 0.673
0.361 0.074 0.090
0.376 0.376 0.945
0.376 0.804 0.373
0.431 0.141 0.920
0.431 0.830 0.606
0.452 0.271 0.129
0.454 0.622 0.477
0.527 0.268 0.483
0.622 0.272 0.300
0.622 0.454 0.477
0.661 0.075 0.393
0.662 0.359 0.673
0.687 0.129 0.623
0.804 0.376 0.373
0.829 0.143 0.323
0.830 0.431 0.606
0.875 0.232 0.698
0.876 0.049 0.520
0.953 0.244 0.506
0.318 0.318 0.434
```

---

24.
The following is a meta-GGA SCAN calculation of a crystal of TcSbBr2 relaxed with PBEsol, from the Alexandria database.

- energy relative to the elements, uncorrected (eV/atom) = 0.564

Geometry as POSCAR:
```
TcSbBr2
1.0
1.525 0.880 11.857
-1.525 0.880 11.857
0.000 -1.761 11.857
Tc Sb Br
1 1 2
direct
0.000 0.000 0.000
0.500 0.500 0.500
0.066 0.066 0.066
0.934 0.934 0.934
```

---

25.
The following is a meta-GGA SCAN calculation of a crystal of Y3Ni relaxed with PBEsol, from the Alexandria database.

- energy relative to the elements (eV/atom) = -0.15

Geometry as POSCAR:
```
Y3Ni
1.0
3.412 0.000 0.000
0.000 3.412 0.000
0.000 0.000 8.500
Y Ni
3 1
direct
0.000 0.000 0.000
0.500 0.500 0.313
0.500 0.500 0.687
0.000 0.000 0.500
```

---

26.
The following is a meta-GGA SCAN calculation of a crystal of LaNi3Hg relaxed with PBEsol, from the Alexandria database.

- energy relative to the elements (eV/atom) = 0.56

Geometry as POSCAR:
```
LaNi3Hg
1.0
4.686 0.000 0.000
0.000 4.686 0.000
0.000 0.000 4.686
La Ni Hg
1 3 1
direct
0.000 0.000 0.000
0.000 0.500 0.500
0.500 0.000 0.500
0.500 0.500 0.000
0.500 0.500 0.500
```

---

27.
The following is a meta-GGA SCAN calculation of a crystal of HfZrGeI2 relaxed with PBEsol, from the Alexandria database.

- energy relative to the elements, uncorrected (eV/atom) = 0.911

Geometry as POSCAR:
```
HfZrGeI2
1.0
5.388 0.000 0.000
0.000 5.388 0.000
0.000 0.000 5.467
Hf Zr Ge I
1 1 1 2
direct
0.000 0.000 0.000
0.000 0.000 0.500
0.500 0.500 0.000
0.000 0.500 0.500
0.500 0.000 0.500
```